Record 1
29
Lattice="5.9356 -8.3997 0.0000 5.9356 8.3997 0.0000 -5.8745 0.0000 8.3479" Properties=species:S:1:pos:R:3 comment="MgTl17Hg11 (PBE, relaxed)" ef_ev_per_fu=-0.2 pbc="T T T"
Mg 0.0000 0.0000 0.0000
Tl -0.6093 0.0000 3.7462
Tl 1.4366 3.2115 4.0915
Tl 4.9487 5.7368 1.6360
Tl 1.1388 5.4037 6.7189
Tl -2.6453 0.0000 6.7419
Tl 4.8045 2.7773 3.4199
Tl 2.8458 0.0000 4.2950
Tl 7.5458 3.3764 1.0919
Tl 5.4209 0.0000 1.4397
Tl 1.4366 -3.2115 4.0915
Tl 3.7260 2.4725 6.7362
Tl 4.8045 -2.7773 3.4199
Tl 8.8016 0.0000 0.7532
Tl 1.1388 -5.4037 6.7189
Tl 4.9487 -5.7368 1.6360
Tl 3.7260 -2.4725 6.7362
Tl 7.5458 -3.3764 1.0919
Hg 2.1301 1.5646 1.3519
Hg -1.4758 3.0497 8.2980
Hg 4.1931 5.4455 5.1348
Hg 2.1301 -1.5646 1.3519
Hg 0.6968 1.5001 6.7708
Hg -1.4758 -3.0497 8.2980
Hg 0.6968 -1.5001 6.7708
Hg 7.8935 1.5435 3.6435
Hg 5.8217 0.0000 5.4819
Hg 7.8935 -1.5435 3.6435
Hg 4.1931 -5.4455 5.1348

Record 2
11
Lattice="3.0169 -5.2838 0.0000 3.0169 5.2838 0.0000 -0.3631 0.0000 7.3307" Properties=species:S:1:pos:R:3 comment="Nd2Tl2SbO6 (PBE, relaxed)" e_form_raw_mev_per_atom=-1936 pbc="T T T"
Nd 3.0169 3.5391 0.0000
Nd 3.0169 -3.5391 0.0000
Tl 2.8353 1.6000 3.6653
Tl 2.8353 -1.6000 3.6653
Sb 3.0169 0.0000 0.0000
O 1.7933 1.5342 6.2759
O 1.2676 0.0000 1.0411
O 1.7933 -1.5342 6.2759
O 3.8773 1.5342 1.0548
O 4.4030 0.0000 6.2895
O 3.8773 -1.5342 1.0548

Record 3
6
Lattice="3.4613 -1.9970 0.0000 3.4613 1.9970 0.0000 -0.3545 0.0000 8.4119" Properties=species:S:1:pos:R:3 comment="ZnSiP (PBE, relaxed)" e_form_raw_mev_per_atom=-114 pbc="T T T"
Zn 1.4027 0.0000 3.1174
Zn 5.1654 0.0000 5.2945
Si 0.7921 0.0000 8.0281
Si 5.7760 0.0000 0.3838
P 0.5443 0.0000 5.7448
P 6.0238 0.0000 2.6671

Record 4
4
Lattice="3.4879 -4.7631 0.0000 3.4879 4.7631 0.0000 0.0000 0.0000 3.4678" Properties=species:S:1:pos:R:3 comment="Tl3Cd (PBE, relaxed)" ef_ev_per_fu=0.2 pbc="T T T"
Tl 0.0000 0.0000 0.0000
Tl 1.7440 2.3815 1.7339
Tl 1.7440 -2.3815 1.7339
Cd 3.4879 0.0000 0.0000

Record 5
12
Lattice="7.6830 0.0000 0.0000 0.0000 4.0594 0.0000 0.0000 0.0000 7.9543" Properties=species:S:1:pos:R:3 comment="NpGeAu4 (PBE, relaxed)" ef_ev_per_fu=-0.6 pbc="T T T"
Np 1.9207 0.0000 0.7278
Np 5.7622 0.0000 7.2265
Ge 1.9207 0.0000 5.6552
Ge 5.7622 0.0000 2.2991
Au 0.0000 0.0000 3.9771
Au 0.4219 2.0297 6.6289
Au 1.9207 2.0297 3.0603
Au 3.4196 2.0297 6.6289
Au 3.8415 0.0000 3.9771
Au 4.2634 2.0297 1.3254
Au 5.7622 2.0297 4.8940
Au 7.2611 2.0297 1.3254

Record 6
16
Lattice="4.6532 2.6866 8.5630 -4.6532 2.6866 8.5630 0.0000 -5.3731 8.5630" Properties=species:S:1:pos:R:3 comment="Rb4LaPm3Te8 (PBE, relaxed)" e_form_raw_mev_per_atom=-1428 pbc="T T T"
Rb 0.0000 0.0000 0.0000
Rb -2.3266 -1.3433 8.5630
Rb -2.3266 1.3433 17.1260
Rb 0.0000 2.6865 8.5630
La 0.0000 0.0000 12.8445
Pm -4.6532 0.0000 12.8445
Pm -2.3266 1.3433 4.2815
Pm 2.3266 1.3433 4.2815
Te -2.3598 -1.3624 14.5983
Te 0.0000 0.0000 6.0217
Te 0.0000 -2.7249 11.0907
Te -2.3598 1.3624 11.0907
Te 2.3598 -1.3624 14.5983
Te 0.0000 2.7249 14.5983
Te 0.0000 0.0000 19.6673
Te 2.3598 1.3624 11.0907

Record 7
5
Lattice="4.9333 0.0000 0.0000 0.0000 4.9333 0.0000 0.0000 0.0000 3.8189" Properties=species:S:1:pos:R:3 comment="Y2TcCO (PBE, relaxed)" e_form_raw_mev_per_atom=-346 pbc="T T T"
Y 0.0000 2.4666 0.0000
Y 2.4666 0.0000 0.0000
Tc 0.0000 0.0000 1.9095
C 0.0000 0.0000 0.0000
O 2.4666 2.4666 1.9095

Record 8
5
Lattice="3.6917 0.0000 0.0000 0.0000 3.6917 0.0000 0.0000 0.0000 3.6917" Properties=species:S:1:pos:R:3 comment="CoIrC3 (PBE, relaxed)" ef_ev_per_fu=11.2 pbc="T T T"
Co 0.0000 0.0000 0.0000
Ir 1.8458 1.8458 1.8458
C 0.0000 0.0000 1.8458
C 0.0000 1.8458 0.0000
C 1.8458 0.0000 0.0000